Computed, not measured: Pm3Er2Tm6Zr after structural relaxation at the PBE-GGA level of DFT.

abc: 6.078 10.517 11.551
angles: 90.00 100.08 90.00
Space group C2/m (No. 12)
Inequivalent atoms, fractional coordinates:
Pm 0.000 0.000 0.000 (multiplicity 2)
Pm 0.000 0.334 0.000 (multiplicity 4)
Er 0.000 0.167 0.500 (multiplicity 4)
Tm 0.243 0.337 0.742 (multiplicity 8)
Tm 0.246 0.500 0.259 (multiplicity 4)
Zr 0.000 0.500 0.500 (multiplicity 2)

Properties
- DFT formation energy (meV per atom) = 43

=====

Computed, not measured: Pm2Er6Tm3Zr after structural relaxation at the PBE-GGA level of DFT.

abc: 6.057 10.473 11.575
angles: 90.00 99.98 90.00
Space group C2/m (No. 12)
Inequivalent atoms, fractional coordinates:
Pm 0.000 0.167 0.000 (multiplicity 4)
Er 0.244 0.500 0.752 (multiplicity 4)
Er 0.246 0.337 0.248 (multiplicity 8)
Tm 0.000 0.000 0.500 (multiplicity 2)
Tm 0.000 0.334 0.500 (multiplicity 4)
Zr 0.000 0.500 0.000 (multiplicity 2)

Properties
- DFT formation energy (meV per atom) = 52

=====

Computed, not measured: Pm3Er6Tm2Zr after structural relaxation at the PBE-GGA level of DFT.

abc: 6.088 10.529 11.593
angles: 90.00 100.03 90.00
Space group C2/m (No. 12)
Inequivalent atoms, fractional coordinates:
Pm 0.000 0.000 0.000 (multiplicity 2)
Pm 0.000 0.334 0.000 (multiplicity 4)
Er 0.243 0.337 0.741 (multiplicity 8)
Er 0.246 0.500 0.259 (multiplicity 4)
Tm 0.000 0.167 0.500 (multiplicity 4)
Zr 0.000 0.500 0.500 (multiplicity 2)

Properties
- DFT formation energy (meV per atom) = 42

=====

Computed, not measured: Pm2ErV after structural relaxation at the PBE-GGA level of DFT.

abc: 3.4169 3.4169 34.6900
angles: 90.00 90.00 120.00
Space group R-3m (No. 166, hexagonal axes)
Inequivalent atoms, fractional coordinates:
Pm 0.0000 0.0000 0.0818 (multiplicity 6)
Er 0.0000 0.0000 0.5000 (multiplicity 3)
V 0.0000 0.0000 0.0000 (multiplicity 3)

Properties
- DFT formation energy (meV per atom) = 623

=====

Computed, not measured: PmEr2V after structural relaxation at the PBE-GGA level of DFT.

abc: 3.3672 3.3672 34.3759
angles: 90.00 90.00 120.00
Space group R-3m (No. 166, hexagonal axes)
Inequivalent atoms, fractional coordinates:
Pm 0.0000 0.0000 0.0000 (multiplicity 3)
Er 0.0000 0.0000 0.4190 (multiplicity 6)
V 0.0000 0.0000 0.5000 (multiplicity 3)

Properties
- DFT formation energy (meV per atom) = 609

=====

Computed, not measured: PmErV4 after structural relaxation at the PBE-GGA level of DFT.

abc: 7.624 7.624 7.624
angles: 90.00 90.00 90.00
Space group F-43m (No. 216)
Inequivalent atoms, fractional coordinates:
Pm 0.000 0.000 0.000 (multiplicity 4)
Er 0.250 0.250 0.750 (multiplicity 4)
V 0.120 0.120 0.380 (multiplicity 16)

Properties
- DFT formation energy (meV per atom) = 375

=====

Computed, not measured: Pm2Y6Er after structural relaxation at the PBE-GGA level of DFT.

abc: 12.876 14.372 6.584
angles: 90.00 103.93 90.00
Space group C2/c (No. 15)
Inequivalent atoms, fractional coordinates:
Pm 0.141 0.024 0.372 (multiplicity 8)
Y 0.037 0.188 0.006 (multiplicity 8)
Y 0.134 0.411 0.811 (multiplicity 8)
Y 0.240 0.199 0.727 (multiplicity 8)
Er 0.000 0.383 0.250 (multiplicity 4)

Properties
- DFT formation energy (meV per atom) = 105

=====

Computed, not measured: Pm5Y12Er2 after structural relaxation at the PBE-GGA level of DFT.

abc: 6.211 9.492 11.315
angles: 83.05 79.41 70.97
Space group P-1 (No. 2)
Inequivalent atoms, fractional coordinates:
Pm 0.000 0.000 0.000 (multiplicity 1)
Pm 0.156 0.317 0.052 (multiplicity 2)
Pm 0.422 0.840 0.474 (multiplicity 2)
Y 0.051 0.106 0.683 (multiplicity 2)
Y 0.106 0.212 0.369 (multiplicity 2)
Y 0.210 0.421 0.735 (multiplicity 2)
Y 0.316 0.631 0.107 (multiplicity 2)
Y 0.370 0.735 0.788 (multiplicity 2)
Y 0.474 0.948 0.158 (multiplicity 2)
Er 0.264 0.526 0.422 (multiplicity 2)

Properties
- DFT formation energy (meV per atom) = 20
- E above lowest polymorph (meV per atom) = 0

=====

Computed, not measured: Pm3Y7Er after structural relaxation at the PBE-GGA level of DFT.

abc: 6.931 5.549 10.074
angles: 90.00 108.51 90.00
Space group P2/m (No. 10)
Inequivalent atoms, fractional coordinates:
Pm 0.000 0.000 0.000 (multiplicity 1)
Pm 0.279 0.500 0.494 (multiplicity 2)
Y 0.000 0.000 0.500 (multiplicity 1)
Y 0.152 0.500 0.787 (multiplicity 2)
Y 0.318 0.500 0.133 (multiplicity 2)
Y 0.429 0.000 0.329 (multiplicity 2)
Er 0.500 0.000 0.000 (multiplicity 1)

Properties
- DFT formation energy (meV per atom) = 141
- E above lowest polymorph (meV per atom) = 0

=====

Computed, not measured: Pm12Y2Er after structural relaxation at the PBE-GGA level of DFT.

abc: 6.533 6.533 25.388
angles: 90.00 90.00 90.00
Space group P4/nbm (No. 125, origin choice 2)
Inequivalent atoms, fractional coordinates:
Pm 0.067 0.567 0.114 (multiplicity 8)
Pm 0.082 0.582 0.562 (multiplicity 8)
Pm 0.250 0.250 0.215 (multiplicity 4)
Pm 0.250 0.250 0.338 (multiplicity 4)
Y 0.250 0.750 0.273 (multiplicity 4)
Er 0.250 0.750 0.000 (multiplicity 2)

Properties
- DFT formation energy (meV per atom) = 317

=====

Computed, not measured: Pm16Y6Er7 after structural relaxation at the PBE-GGA level of DFT.

abc: 15.907 15.907 15.907
angles: 90.00 90.00 90.00
Space group Fm-3m (No. 225)
Inequivalent atoms, fractional coordinates:
Pm 0.124 0.124 0.124 (multiplicity 32)
Pm 0.151 0.151 0.349 (multiplicity 32)
Y 0.000 0.000 0.273 (multiplicity 24)
Er 0.000 0.000 0.000 (multiplicity 4)
Er 0.000 0.250 0.250 (multiplicity 24)

Properties
- DFT formation energy (meV per atom) = 199

=====

Computed, not measured: Pm2Y6Er3 after structural relaxation at the PBE-GGA level of DFT.

abc: 6.127 10.630 11.688
angles: 90.00 100.16 90.00
Space group C2/m (No. 12)
Inequivalent atoms, fractional coordinates:
Pm 0.000 0.167 0.000 (multiplicity 4)
Y 0.249 0.167 0.747 (multiplicity 8)
Y 0.249 0.500 0.748 (multiplicity 4)
Er 0.000 0.000 0.500 (multiplicity 2)
Er 0.000 0.335 0.500 (multiplicity 4)

Properties
- DFT formation energy (meV per atom) = 190
- E above lowest polymorph (meV per atom) = 0